# Mn2Pt3Rh3, optimized geometry, DFT PBE
data_Mn2Pt3Rh3
_cell_length_a 3.889
_cell_length_b 3.868
_cell_length_c 7.705
_cell_angle_alpha 90.00
_cell_angle_beta 90.00
_cell_angle_gamma 90.00
_space_group_name_H-M_alt 'P 1'
_space_group_IT_number 1
loop_
_space_group_symop_operation_xyz
'x,y,z'
loop_
_atom_site_label
_atom_site_type_symbol
_atom_site_fract_x
_atom_site_fract_y
_atom_site_fract_z
Rh1 Rh 0.500 0.000 0.500
Rh2 Rh 0.000 0.500 0.000
Rh3 Rh 0.000 0.500 0.500
Mn1 Mn 0.000 0.000 0.747
Mn2 Mn 0.000 0.000 0.253
Pt1 Pt 0.500 0.000 0.000
Pt2 Pt 0.500 0.500 0.748
Pt3 Pt 0.500 0.500 0.252
# Symmetry: Pmmm (47)
# Formation energy: -257 meV per atom
# Total moment: 6.92 μB/cell
# E_tot: -7.57 eV/atom



# K2TlSnCl4, optimized geometry, DFT PBE
data_K2TlSnCl4
_cell_length_a 6.437
_cell_length_b 6.437
_cell_length_c 7.769
_cell_angle_alpha 114.48
_cell_angle_beta 114.47
_cell_angle_gamma 90.01
_space_group_name_H-M_alt 'P 1'
_space_group_IT_number 1
loop_
_space_group_symop_operation_xyz
'x,y,z'
loop_
_atom_site_label
_atom_site_type_symbol
_atom_site_fract_x
_atom_site_fract_y
_atom_site_fract_z
Tl1 Tl 0.500 0.500 0.000
Cl1 Cl 0.755 0.755 0.511
Cl2 Cl 0.513 0.013 0.025
Cl3 Cl 0.987 0.487 0.975
Cl4 Cl 0.245 0.245 0.489
Sn1 Sn 0.750 0.250 0.500
K1 K 0.250 0.750 0.500
K2 K 0.000 0.000 0.000
# Symmetry: I-4m2 (119)
# Formation energy (no corrections): -1.242 eV per atom
# Total moment: 0.62 μB/cell
# E_tot: -3.24 eV/atom



# Pd14PtAu, optimized geometry, DFT PBE
data_Pd14PtAu
_cell_length_a 5.583
_cell_length_b 5.583
_cell_length_c 9.235
_cell_angle_alpha 90.00
_cell_angle_beta 90.00
_cell_angle_gamma 119.94
_space_group_name_H-M_alt 'P 1'
_space_group_IT_number 1
loop_
_space_group_symop_operation_xyz
'x,y,z'
loop_
_atom_site_label
_atom_site_type_symbol
_atom_site_fract_x
_atom_site_fract_y
_atom_site_fract_z
Pd1 Pd 0.874 0.623 0.751
Pd2 Pd 0.874 0.126 0.247
Pd3 Pd 0.874 0.623 0.249
Pd4 Pd 0.042 0.458 0.500
Pd5 Pd 0.874 0.126 0.753
Pd6 Pd 0.375 0.625 0.250
Pd7 Pd 0.542 0.958 0.500
Pd8 Pd 0.208 0.292 0.000
Pd9 Pd 0.208 0.792 0.000
Pd10 Pd 0.375 0.625 0.750
Pd11 Pd 0.708 0.792 0.000
Pd12 Pd 0.377 0.126 0.249
Pd13 Pd 0.377 0.126 0.751
Pd14 Pd 0.708 0.292 0.000
Pt1 Pt 0.542 0.458 0.500
Au1 Au 0.042 0.958 0.500
# Symmetry: Amm2 (38)
# Formation energy: 13 meV per atom
# Total moment: 0.02 μB/cell
# E_tot: -5.11 eV/atom



> Which of these has the highest E_tot?

K2TlSnCl4



> What is the E_tot in the third record?

-5.11 eV/atom



> Which formula does entry 1 have?

Mn2Pt3Rh3